No. 1
A plane-wave DFT calculation with PBE was carried out for TcPN2F after structural relaxation.

Cell: 3.9037 3.9037 4.0894 Å, 90.00 90.00 90.00°
Site moments in Bohr magnetons follow the coordinates.
Positions (direct):
P 0.5000 0.5000 0.5000  0.48
F 0.0000 0.0000 0.5000  0.03
N 0.5000 0.0000 0.0000  -0.13
N 0.0000 0.5000 0.0000  -0.13
Tc 0.0000 0.0000 0.0000  0.31

Summary:
- symmetry = No. 123
- total moment (μB per formula unit) = 1.0
- calculated density (g cm⁻³) = 4.689
- formation energy without anion corrections (eV/f.u.) = 3.2

=====

No. 2
A plane-wave DFT calculation with PBE was carried out for Ta2CoPb after structural relaxation.

Cell: 3.7703 4.1915 4.4366 Å, 90.00 90.00 90.00°
Site moments in Bohr magnetons follow the coordinates.
Positions (direct):
Pb 0.0000 0.5000 0.5000  0.00
Ta 0.5000 0.5000 0.0000  0.07
Ta 0.0000 0.0000 0.0000  0.01
Co 0.5000 0.0000 0.5000  0.99

Summary:
- symmetry = No. 47
- energy relative to the elements (eV/atom) = 0.346
- total moment (μB per formula unit) = 1.1
- calculated density (g cm⁻³) = 14.874

=====

No. 3
A plane-wave DFT calculation with PBE was carried out for Tb6In3Bi after structural relaxation.

Cell: 6.7853 10.1214 10.1214 Å, 121.29 90.00 90.00°
Positions (direct):
In 0.5069 0.9058 0.6862
In 0.5069 0.3138 0.0942
In 0.1527 0.4131 0.5869
In 0.6527 0.5869 0.4131
In 0.0069 0.6862 0.9058
In 0.0069 0.0942 0.3138
Tb 0.7703 0.2933 0.7067
Tb 0.2996 0.4538 0.9129
Tb 0.7996 0.9129 0.4538
Tb 0.5552 0.6330 0.7480
Tb 0.2781 0.9884 0.0116
Tb 0.5552 0.2520 0.3670
Tb 0.0552 0.3670 0.2520
Tb 0.2996 0.0871 0.5462
Tb 0.0552 0.7480 0.6330
Tb 0.2703 0.7067 0.2933
Tb 0.7781 0.0116 0.9884
Tb 0.7996 0.5462 0.0871
Bi 0.5608 0.8483 0.1517
Bi 0.0608 0.1517 0.8483

Summary:
- symmetry = No. 36
- energy relative to the elements (eV/atom) = -0.327
- total moment (μB per formula unit) = 0.0
- calculated density (g cm⁻³) = 8.426

=====

No. 4
A plane-wave DFT calculation with PBE was carried out for V4SiC2 after structural relaxation.

Cell: 3.0533 5.1203 10.3545 Å, 90.00 90.00 107.35°
Positions (direct):
V 0.2369 0.4739 0.6076
V 0.5000 0.0000 0.0000
V 0.7631 0.5261 0.1076
V 0.0814 0.1627 0.2500
V 0.7631 0.5261 0.3924
V 0.9186 0.8373 0.7500
V 0.5000 0.0000 0.5000
V 0.2369 0.4739 0.8924
Si 0.3911 0.7822 0.2500
Si 0.6089 0.2178 0.7500
C 0.8647 0.7294 0.9389
C 0.1353 0.2706 0.4389
C 0.8647 0.7294 0.5611
C 0.1353 0.2706 0.0611

Summary:
- symmetry = No. 63
- total moment (μB per formula unit) = 0.0
- calculated density (g cm⁻³) = 5.499
- formation energy without anion corrections (eV/f.u.) = -3.7